No. 1
# PBE PuGeO6, optimized geometry
# Calculated total energy in eV per atom: -7.41
data_PuGeO6
_cell_length_a 5.409
_cell_length_b 5.371
_cell_length_c 7.175
_cell_angle_alpha 70.18
_cell_angle_beta 47.68
_cell_angle_gamma 59.77
_symmetry_space_group_name_H-M 'P 1'
_symmetry_Int_Tables_number 1
_symmetry_space_group_name_Hall 'P 1'
loop_
_atom_site_label
_atom_site_fract_x
_atom_site_fract_y
_atom_site_fract_z
Pu1 0.000 0.000 0.000
Ge1 0.500 0.000 0.500
O1 0.002 0.728 0.269
O2 0.730 0.272 0.269
O3 0.270 0.728 0.731
O4 0.998 0.272 0.731
O5 0.499 0.000 0.230
O6 0.501 0.000 0.770

---

No. 2
# PBE Pu3GeO2, optimized geometry
# Calculated total energy in eV per atom: -11.25
data_Pu3GeO2
_cell_length_a 5.371
_cell_length_b 6.329
_cell_length_c 6.329
_cell_angle_alpha 95.01
_cell_angle_beta 90.00
_cell_angle_gamma 90.00
_symmetry_space_group_name_H-M 'P 1'
_symmetry_Int_Tables_number 1
_symmetry_space_group_name_Hall 'P 1'
loop_
_atom_site_label
_atom_site_fract_x
_atom_site_fract_y
_atom_site_fract_z
Pu1 0.750 0.152 0.848
Pu2 0.750 0.172 0.434
Pu3 0.250 0.434 0.172
Pu4 0.750 0.566 0.828
Pu5 0.250 0.828 0.566
Pu6 0.250 0.848 0.152
Ge1 0.250 0.338 0.662
Ge2 0.750 0.662 0.338
O1 0.000 0.157 0.157
O2 0.500 0.157 0.157
O3 0.000 0.843 0.843
O4 0.500 0.843 0.843

---

No. 3
# PBE PuGeO5, optimized geometry
# Calculated total energy in eV per atom: -8.24
data_PuGeO5
_cell_length_a 3.665
_cell_length_b 5.343
_cell_length_c 5.343
_cell_angle_alpha 71.93
_cell_angle_beta 69.94
_cell_angle_gamma 69.94
_symmetry_space_group_name_H-M 'P 1'
_symmetry_Int_Tables_number 1
_symmetry_space_group_name_Hall 'P 1'
loop_
_atom_site_label
_atom_site_fract_x
_atom_site_fract_y
_atom_site_fract_z
Pu1 0.500 0.500 0.500
Ge1 0.000 0.000 0.000
O1 0.739 0.261 0.261
O2 0.000 0.296 0.704
O3 0.500 0.000 0.000
O4 0.000 0.704 0.296
O5 0.261 0.739 0.739

---

No. 4
# PBE Pu8Ge5O, optimized geometry
# Calculated total energy in eV per atom: -10.74
data_Pu8Ge5O
_cell_length_a 7.314
_cell_length_b 7.314
_cell_length_c 7.314
_cell_angle_alpha 108.43
_cell_angle_beta 111.57
_cell_angle_gamma 108.43
_symmetry_space_group_name_H-M 'P 1'
_symmetry_Int_Tables_number 1
_symmetry_space_group_name_Hall 'P 1'
loop_
_atom_site_label
_atom_site_fract_x
_atom_site_fract_y
_atom_site_fract_z
Pu1 0.146 0.722 0.015
Pu2 0.985 0.131 0.707
Pu3 0.814 0.259 0.416
Pu4 0.584 0.398 0.843
Pu5 0.445 0.602 0.186
Pu6 0.577 0.869 0.854
Pu7 0.293 0.278 0.423
Pu8 0.157 0.741 0.555
Ge1 0.974 0.356 0.111
Ge2 0.889 0.863 0.245
Ge3 0.755 0.644 0.618
Ge4 0.500 0.000 0.500
Ge5 0.382 0.137 0.026
O1 0.250 0.500 0.750

---

No. 5
# PBE RbPuGeO5, optimized geometry
# Calculated total energy in eV per atom: -7.78
data_RbPuGeO5
_cell_length_a 6.194
_cell_length_b 6.194
_cell_length_c 8.002
_cell_angle_alpha 105.00
_cell_angle_beta 105.00
_cell_angle_gamma 105.74
_symmetry_space_group_name_H-M 'P 1'
_symmetry_Int_Tables_number 1
_symmetry_space_group_name_Hall 'P 1'
loop_
_atom_site_label
_atom_site_fract_x
_atom_site_fract_y
_atom_site_fract_z
Rb1 0.333 0.667 0.250
Rb2 0.667 0.333 0.750
Pu1 0.000 0.000 0.500
Pu2 0.000 0.000 0.000
Ge1 0.691 0.309 0.250
Ge2 0.309 0.691 0.750
O1 0.054 0.946 0.250
O2 0.946 0.054 0.750
O3 0.877 0.285 0.113
O4 0.123 0.715 0.887
O5 0.715 0.123 0.387
O6 0.285 0.877 0.613
O7 0.777 0.616 0.392
O8 0.223 0.384 0.608
O9 0.384 0.223 0.108
O10 0.616 0.777 0.892

---

No. 6
# PBE RbPuGe2O8, optimized geometry
# Calculated total energy in eV per atom: -7.08
data_RbPuGe2O8
_cell_length_a 5.637
_cell_length_b 5.637
_cell_length_c 9.787
_cell_angle_alpha 73.26
_cell_angle_beta 73.26
_cell_angle_gamma 60.00
_symmetry_space_group_name_H-M 'P 1'
_symmetry_Int_Tables_number 1
_symmetry_space_group_name_Hall 'P 1'
loop_
_atom_site_label
_atom_site_fract_x
_atom_site_fract_y
_atom_site_fract_z
Rb1 0.000 0.000 0.000
Pu1 0.500 0.500 0.500
Ge1 0.762 0.762 0.714
Ge2 0.238 0.238 0.286
O1 0.701 0.701 0.896
O2 0.299 0.299 0.104
O3 0.375 0.375 0.372
O4 0.625 0.625 0.628
O5 0.123 0.625 0.628
O6 0.375 0.877 0.372
O7 0.877 0.375 0.372
O8 0.625 0.123 0.628

---

No. 7
# PBE Rb3PuGe2O8, optimized geometry
# Calculated total energy in eV per atom: -6.70
data_Rb3PuGe2O8
_cell_length_a 5.940
_cell_length_b 5.940
_cell_length_c 8.405
_cell_angle_alpha 90.00
_cell_angle_beta 90.00
_cell_angle_gamma 120.00
_symmetry_space_group_name_H-M 'P 1'
_symmetry_Int_Tables_number 1
_symmetry_space_group_name_Hall 'P 1'
loop_
_atom_site_label
_atom_site_fract_x
_atom_site_fract_y
_atom_site_fract_z
Rb1 0.333 0.667 0.754
Rb2 0.667 0.333 0.246
Rb3 0.000 0.000 0.000
Pu1 0.000 0.000 0.500
Ge1 0.333 0.667 0.275
Ge2 0.667 0.333 0.725
O1 0.333 0.667 0.072
O2 0.667 0.333 0.928
O3 0.169 0.831 0.351
O4 0.831 0.169 0.649
O5 0.169 0.339 0.351
O6 0.831 0.661 0.649
O7 0.661 0.831 0.351
O8 0.339 0.169 0.649

---

No. 8
# PBE RbPuGeO6, optimized geometry
# Calculated total energy in eV per atom: -7.42
data_RbPuGeO6
_cell_length_a 5.251
_cell_length_b 5.251
_cell_length_c 6.492
_cell_angle_alpha 90.00
_cell_angle_beta 90.00
_cell_angle_gamma 60.00
_symmetry_space_group_name_H-M 'P 1'
_symmetry_Int_Tables_number 1
_symmetry_space_group_name_Hall 'P 1'
loop_
_atom_site_label
_atom_site_fract_x
_atom_site_fract_y
_atom_site_fract_z
Rb1 0.000 0.000 0.000
Pu1 0.667 0.667 0.500
Ge1 0.333 0.333 0.500
O1 0.013 0.366 0.331
O2 0.366 0.013 0.669
O3 0.621 0.366 0.669
O4 0.013 0.621 0.669
O5 0.366 0.621 0.331
O6 0.621 0.013 0.331

---

No. 9
# PBE PuGeRuO6, optimized geometry
# Calculated total energy in eV per atom: -8.09
data_PuGeRuO6
_cell_length_a 5.258
_cell_length_b 5.258
_cell_length_c 8.665
_cell_angle_alpha 90.00
_cell_angle_beta 90.00
_cell_angle_gamma 120.00
_symmetry_space_group_name_H-M 'P 1'
_symmetry_Int_Tables_number 1
_symmetry_space_group_name_Hall 'P 1'
loop_
_atom_site_label
_atom_site_fract_x
_atom_site_fract_y
_atom_site_fract_z
Pu1 0.667 0.333 0.250
Pu2 0.333 0.667 0.750
Ge1 0.333 0.667 0.250
Ge2 0.667 0.333 0.750
Ru1 0.000 0.000 0.000
Ru2 0.000 0.000 0.500
O1 0.652 0.683 0.127
O2 0.031 0.348 0.127
O3 0.348 0.031 0.627
O4 0.969 0.652 0.873
O5 0.317 0.348 0.373
O6 0.031 0.683 0.373
O7 0.683 0.031 0.873
O8 0.652 0.969 0.373
O9 0.969 0.317 0.627
O10 0.317 0.969 0.127
O11 0.683 0.652 0.627
O12 0.348 0.317 0.873

---

No. 10
# PBE SrPuGeO5, optimized geometry
# Calculated total energy in eV per atom: -8.26
data_SrPuGeO5
_cell_length_a 6.044
_cell_length_b 6.044
_cell_length_c 7.752
_cell_angle_alpha 102.88
_cell_angle_beta 102.88
_cell_angle_gamma 107.19
_symmetry_space_group_name_H-M 'P 1'
_symmetry_Int_Tables_number 1
_symmetry_space_group_name_Hall 'P 1'
loop_
_atom_site_label
_atom_site_fract_x
_atom_site_fract_y
_atom_site_fract_z
Sr1 0.337 0.663 0.250
Sr2 0.663 0.337 0.750
Pu1 0.000 0.000 0.500
Pu2 0.000 0.000 0.000
Ge1 0.680 0.320 0.250
Ge2 0.320 0.680 0.750
O1 0.084 0.916 0.250
O2 0.916 0.084 0.750
O3 0.896 0.325 0.125
O4 0.104 0.675 0.875
O5 0.675 0.104 0.375
O6 0.325 0.896 0.625
O7 0.737 0.608 0.411
O8 0.263 0.392 0.589
O9 0.392 0.263 0.089
O10 0.608 0.737 0.911

---

No. 11
# PBE Sr2PuGeO6, optimized geometry
# Calculated total energy in eV per atom: -7.72
data_Sr2PuGeO6
_cell_length_a 4.168
_cell_length_b 4.168
_cell_length_c 8.251
_cell_angle_alpha 90.00
_cell_angle_beta 90.00
_cell_angle_gamma 90.00
_symmetry_space_group_name_H-M 'P 1'
_symmetry_Int_Tables_number 1
_symmetry_space_group_name_Hall 'P 1'
loop_
_atom_site_label
_atom_site_fract_x
_atom_site_fract_y
_atom_site_fract_z
Sr1 0.000 0.000 0.713
Sr2 0.000 0.000 0.287
Pu1 0.500 0.500 0.000
Ge1 0.500 0.500 0.500
O1 0.500 0.000 0.000
O2 0.500 0.000 0.500
O3 0.000 0.500 0.000
O4 0.000 0.500 0.500
O5 0.500 0.500 0.723
O6 0.500 0.500 0.277

---

No. 12
# PBE SrPuGe2O8, optimized geometry
# Calculated total energy in eV per atom: -7.40
data_SrPuGe2O8
_cell_length_a 6.051
_cell_length_b 6.051
_cell_length_c 6.051
_cell_angle_alpha 106.61
_cell_angle_beta 106.61
_cell_angle_gamma 115.36
_symmetry_space_group_name_H-M 'P 1'
_symmetry_Int_Tables_number 1
_symmetry_space_group_name_Hall 'P 1'
loop_
_atom_site_label
_atom_site_fract_x
_atom_site_fract_y
_atom_site_fract_z
Sr1 0.000 0.000 0.000
Pu1 0.250 0.750 0.500
Ge1 0.750 0.250 0.500
Ge2 0.500 0.500 0.000
O1 0.384 0.055 0.329
O2 0.334 0.532 0.198
O3 0.334 0.136 0.802
O4 0.726 0.055 0.671
O5 0.864 0.666 0.198
O6 0.945 0.274 0.329
O7 0.945 0.616 0.671
O8 0.468 0.666 0.802